VASP calculation (PBE) on crystalline Li2AlZn2Pd5 at its relaxed geometry.

Cell: 3.626 9.353 9.353 Å, 90.00 90.00 90.00°
Fractional positions:
Li: 0.000 0.668 0.168
Li: 0.000 0.332 0.832
Li: 0.000 0.168 0.332
Li: 0.000 0.832 0.668
Al: 0.000 0.000 0.000
Al: 0.000 0.500 0.500
Zn: 0.000 0.130 0.630
Zn: 0.000 0.870 0.370
Zn: 0.000 0.630 0.870
Zn: 0.000 0.370 0.130
Pd: 0.500 0.193 0.075
Pd: 0.500 0.807 0.925
Pd: 0.500 0.075 0.807
Pd: 0.500 0.693 0.425
Pd: 0.500 0.925 0.193
Pd: 0.500 0.307 0.575
Pd: 0.500 0.575 0.693
Pd: 0.500 0.425 0.307
Pd: 0.500 0.500 0.000
Pd: 0.500 0.000 0.500

Summary:
Calculated total energy: -82.0 eV per cell
Energy relative to the elements: -0.4911 eV/atom
Total magnetization: 0.00 μB/atom
Calculated volume: 317.2 Å³/cell
Density of states at the Fermi level: 3.88 states/eV/f.u.